Entry 1:
A plane-wave DFT calculation with PBE was carried out for a geometry-optimized PrErHgGe structure.

Summary:
As for the total energy: -4.103 eV per atom. For the formation energy from the elements, the calculation gives -537 meV per atom. Its crystal system is cubic. As for the density of states at the Fermi level: 0.86 states/eV/atom.

Cell lengths 5.2334, 5.2334, 5.2334 Å; angles 60.00, 60.00, 60.00 degrees
Last column: nearest neighbours and their distance in Å.
Element x y z (fractional)
Pr 0.0000 0.0000 0.0000  4 Ge 3.20, 4 Hg 3.20
Er 0.5000 0.5000 0.5000  4 Hg 3.20, 4 Ge 3.20
Hg 0.2500 0.2500 0.2500  4 Pr 3.20, 4 Er 3.20
Ge 0.7500 0.7500 0.7500  4 Pr 3.20, 4 Er 3.20

Entry 2:
A plane-wave DFT calculation with PBE was carried out for a geometry-optimized ErPuHgGe structure.

Summary:
As for the total energy: -6.338 eV per atom. For the formation energy from the elements, the calculation gives -384 meV per atom. Its crystal system is cubic. As for the density of states at the Fermi level: 2.46 states/eV/atom.

Cell lengths 5.1613, 5.1613, 5.1613 Å; angles 60.00, 60.00, 60.00 degrees
Last column: nearest neighbours and their distance in Å.
Element x y z (fractional)
Er 0.0000 0.0000 0.0000  4 Hg 3.16, 4 Ge 3.16
Pu 0.5000 0.5000 0.5000  4 Ge 3.16, 4 Hg 3.16
Hg 0.7500 0.7500 0.7500  4 Er 3.16, 4 Pu 3.16
Ge 0.2500 0.2500 0.2500  4 Er 3.16, 4 Pu 3.16

Entry 3:
A plane-wave DFT calculation with PBE was carried out for a geometry-optimized Er2HgGe2Rh5 structure.

Summary:
As for the total energy: -6.285 eV per atom. For the formation energy from the elements, the calculation gives -743 meV per atom. Its crystal system is tetragonal. As for the density of states at the Fermi level: 0.11 states/eV/atom.

Cell lengths 9.7579, 9.7579, 3.6305 Å; angles 90.00, 90.00, 90.00 degrees
Last column: nearest neighbours and their distance in Å.
Element x y z (fractional)
Er 0.1740 0.3260 0.0000  3 Ge 2.78-2.95, 2 Rh 3.01
Er 0.3260 0.8260 0.0000  3 Ge 2.78-2.95, 2 Rh 3.01
Er 0.6740 0.1740 0.0000  3 Ge 2.78-2.95, 2 Rh 3.01
Er 0.8260 0.6740 0.0000  3 Ge 2.78-2.95, 2 Rh 3.01
Hg 0.0000 0.0000 0.0000  8 Rh 2.83
Hg 0.5000 0.5000 0.0000  8 Rh 2.83
Ge 0.1246 0.6246 0.0000  6 Rh 2.48-2.50
Ge 0.3754 0.1246 0.0000  6 Rh 2.48-2.50
Ge 0.6246 0.8754 0.0000  6 Rh 2.48-2.50
Ge 0.8754 0.3754 0.0000  6 Rh 2.48-2.50
Rh 0.0000 0.5000 0.5000  4 Ge 2.50
Rh 0.0689 0.7880 0.5000  2 Ge 2.48
Rh 0.2120 0.0689 0.5000  2 Ge 2.48
Rh 0.2880 0.5689 0.5000  2 Ge 2.48
Rh 0.4311 0.2880 0.5000  2 Ge 2.48
Rh 0.5000 0.0000 0.5000  4 Ge 2.50
Rh 0.5689 0.7120 0.5000  2 Ge 2.48
Rh 0.7120 0.4311 0.5000  2 Ge 2.48
Rh 0.7880 0.9311 0.5000  2 Ge 2.48
Rh 0.9311 0.2120 0.5000  2 Ge 2.48

Entry 4:
A plane-wave DFT calculation with PBE was carried out for a geometry-optimized ErScHgGe structure.

Summary:
As for the total energy: -4.462 eV per atom. For the formation energy from the elements, the calculation gives -509 meV per atom. Its crystal system is cubic. As for the density of states at the Fermi level: 0.90 states/eV/atom.

Cell lengths 4.9991, 4.9991, 4.9991 Å; angles 60.00, 60.00, 60.00 degrees
Last column: nearest neighbours and their distance in Å.
Element x y z (fractional)
Er 0.0000 0.0000 0.0000  4 Ge 3.06, 4 Hg 3.06
Sc 0.5000 0.5000 0.5000  4 Hg 3.06, 4 Ge 3.06
Hg 0.2500 0.2500 0.2500  4 Er 3.06, 4 Sc 3.06
Ge 0.7500 0.7500 0.7500  4 Sc 3.06, 4 Er 3.06

Entry 5:
A plane-wave DFT calculation with PBE was carried out for a geometry-optimized Er4HgGeSe2 structure.

Summary:
As for the total energy: -4.927 eV per atom. For the formation energy without anion corrections, the calculation gives -1.159 eV per atom. Its crystal system is tetragonal. As for the density of states at the Fermi level: 0.64 states/eV/atom.

Cell lengths 7.1427, 7.1427, 7.1427 Å; angles 131.71, 131.71, 70.68 degrees
Last column: nearest neighbours and their distance in Å.
Element x y z (fractional)
Er 0.2423 0.2423 0.0000  3 Se 2.82-2.92, 2 Ge 2.92, 1 Hg 3.00
Er 0.5019 0.0019 0.5000  1 Ge 2.89, 2 Hg 2.92, 3 Se 2.92-2.94
Er 0.7577 0.7577 0.0000  3 Se 2.82-2.92, 2 Ge 2.92, 1 Hg 3.00
Er 0.9981 0.4981 0.5000  1 Ge 2.89, 2 Hg 2.92, 3 Se 2.92-2.94
Hg 0.5000 0.5000 0.0000  6 Er 2.92-3.00
Ge 0.7500 0.2500 0.5000  6 Er 2.89-2.92
Se 0.0000 0.0000 0.0000  6 Er 2.82-2.92
Se 0.2500 0.7500 0.5000  6 Er 2.92-2.94

Entry 6:
A plane-wave DFT calculation with PBE was carried out for a geometry-optimized TbErHgGe structure.

Summary:
As for the total energy: -4.074 eV per atom. For the formation energy from the elements, the calculation gives -546 meV per atom. Its crystal system is cubic. As for the density of states at the Fermi level: 0.88 states/eV/atom.

Cell lengths 5.1418, 5.1418, 5.1418 Å; angles 60.00, 60.00, 60.00 degrees
Last column: nearest neighbours and their distance in Å.
Element x y z (fractional)
Tb 0.0000 0.0000 0.0000  4 Hg 3.15, 4 Ge 3.15
Er 0.5000 0.5000 0.5000  4 Hg 3.15, 4 Ge 3.15
Hg 0.7500 0.7500 0.7500  4 Tb 3.15, 4 Er 3.15
Ge 0.2500 0.2500 0.2500  4 Er 3.15, 4 Tb 3.15

Entry 7:
A plane-wave DFT calculation with PBE was carried out for a geometry-optimized Er8HgGe3Te4 structure.

Summary:
As for the total energy: -5.002 eV per atom. For the formation energy without anion corrections, the calculation gives -1.051 eV per atom. Its crystal system is trigonal. As for the density of states at the Fermi level: 0.43 states/eV/atom.

Cell lengths 8.5853, 8.5853, 8.5853 Å; angles 58.89, 58.89, 58.89 degrees
Last column: nearest neighbours and their distance in Å.
Element x y z (fractional)
Er 0.2308 0.7482 0.7482  2 Ge 2.88, 1 Hg 2.99, 3 Te 3.04-3.14
Er 0.2387 0.2387 0.2387  3 Ge 2.88, 3 Te 3.16
Er 0.2518 0.2518 0.7692  2 Ge 2.88, 1 Hg 2.99, 3 Te 3.04-3.14
Er 0.2518 0.7692 0.2518  2 Ge 2.88, 1 Hg 2.99, 3 Te 3.04-3.14
Er 0.7482 0.2308 0.7482  2 Ge 2.88, 1 Hg 2.99, 3 Te 3.04-3.14
Er 0.7482 0.7482 0.2308  2 Ge 2.88, 1 Hg 2.99, 3 Te 3.04-3.14
Er 0.7613 0.7613 0.7613  3 Ge 2.88, 3 Te 3.16
Er 0.7692 0.2518 0.2518  2 Ge 2.88, 1 Hg 2.99, 3 Te 3.04-3.14
Hg 0.5000 0.5000 0.5000  6 Er 2.99
Ge 0.0000 0.0000 0.5000  6 Er 2.88
Ge 0.0000 0.5000 0.0000  6 Er 2.88
Ge 0.5000 0.0000 0.0000  6 Er 2.88
Te 0.0000 0.0000 0.0000  6 Er 3.04
Te 0.0000 0.5000 0.5000  6 Er 3.14-3.16
Te 0.5000 0.0000 0.5000  6 Er 3.14-3.16
Te 0.5000 0.5000 0.0000  6 Er 3.14-3.16

Entry 8:
A plane-wave DFT calculation with PBE was carried out for a geometry-optimized ErThHgGe structure.

Summary:
As for the total energy: -4.653 eV per atom. For the formation energy from the elements, the calculation gives -428 meV per atom. Its crystal system is cubic. As for the density of states at the Fermi level: 0.80 states/eV/atom.

Cell lengths 5.2300, 5.2300, 5.2300 Å; angles 60.00, 60.00, 60.00 degrees
Last column: nearest neighbours and their distance in Å.
Element x y z (fractional)
Er 0.0000 0.0000 0.0000  4 Hg 3.20, 4 Ge 3.20
Th 0.5000 0.5000 0.5000  4 Hg 3.20, 4 Ge 3.20
Hg 0.7500 0.7500 0.7500  4 Th 3.20, 4 Er 3.20
Ge 0.2500 0.2500 0.2500  4 Th 3.20, 4 Er 3.20

Entry 9:
A plane-wave DFT calculation with PBE was carried out for a geometry-optimized ErTmHgGe structure.

Summary:
As for the total energy: -4.015 eV per atom. For the formation energy from the elements, the calculation gives -527 meV per atom. Its crystal system is cubic. As for the density of states at the Fermi level: 0.78 states/eV/atom.

Cell lengths 5.1008, 5.1008, 5.1008 Å; angles 60.00, 60.00, 60.00 degrees
Last column: nearest neighbours and their distance in Å.
Element x y z (fractional)
Er 0.0000 0.0000 0.0000  4 Hg 3.12, 4 Ge 3.12
Tm 0.5000 0.5000 0.5000  4 Hg 3.12, 4 Ge 3.12
Hg 0.7500 0.7500 0.7500  4 Tm 3.12, 4 Er 3.12
Ge 0.2500 0.2500 0.2500  4 Tm 3.12, 4 Er 3.12

Entry 10:
A plane-wave DFT calculation with PBE was carried out for a geometry-optimized YErHgGe structure.

Summary:
As for the total energy: -4.541 eV per atom. For the formation energy from the elements, the calculation gives -554 meV per atom. Its crystal system is cubic. As for the density of states at the Fermi level: 0.84 states/eV/atom.

Cell lengths 5.1368, 5.1368, 5.1368 Å; angles 60.00, 60.00, 60.00 degrees
Last column: nearest neighbours and their distance in Å.
Element x y z (fractional)
Y 0.0000 0.0000 0.0000  4 Ge 3.15, 4 Hg 3.15
Er 0.5000 0.5000 0.5000  4 Hg 3.15, 4 Ge 3.15
Hg 0.2500 0.2500 0.2500  4 Er 3.15, 4 Y 3.15
Ge 0.7500 0.7500 0.7500  4 Er 3.15, 4 Y 3.15

Entry 11:
A plane-wave DFT calculation with PBE was carried out for a geometry-optimized HoEr2Ge structure.

Summary:
As for the total energy: -4.607 eV per atom. For the formation energy from the elements, the calculation gives -27 meV per atom. Its crystal system is trigonal. As for the density of states at the Fermi level: 1.18 states/eV/atom.

Cell lengths 11.0390, 11.0390, 11.0390 Å; angles 18.37, 18.37, 18.37 degrees
Last column: nearest neighbours and their distance in Å.
Element x y z (fractional)
Ho 0.0000 0.0000 0.0000  2 Er 3.39, 6 Ho 3.52
Er 0.1041 0.1041 0.1041  3 Ge 2.88
Er 0.8959 0.8959 0.8959  3 Ge 2.88
Ge 0.5000 0.5000 0.5000  6 Er 2.88

Entry 12:
A plane-wave DFT calculation with PBE was carried out for a geometry-optimized Ho2Er2Ge3 structure.

Summary:
As for the total energy: -5.206 eV per atom. For the formation energy from the elements, the calculation gives -615 meV per atom. Its crystal system is monoclinic. As for the density of states at the Fermi level: 0.43 states/eV/atom.

Cell lengths 5.6965, 5.6965, 8.0212 Å; angles 102.12, 102.12, 47.41 degrees
Last column: nearest neighbours and their distance in Å.
Element x y z (fractional)
Ho 0.1372 0.1372 0.4104  5 Ge 2.88-3.04
Ho 0.8628 0.8628 0.5896  5 Ge 2.88-3.04
Er 0.3709 0.3709 0.1475  4 Ge 2.84-2.98
Er 0.6291 0.6291 0.8525  4 Ge 2.84-2.98
Ge 0.2908 0.2908 0.7815  3 Er 2.86-2.98, 3 Ho 2.95-3.04
Ge 0.5000 0.5000 0.5000  2 Er 2.84, 4 Ho 2.88
Ge 0.7092 0.7092 0.2185  3 Er 2.86-2.98, 3 Ho 2.95-3.04

Entry 13:
A plane-wave DFT calculation with PBE was carried out for a geometry-optimized Ho5Er2Ge4 structure.

Summary:
As for the total energy: -4.848 eV per atom. For the formation energy from the elements, the calculation gives -258 meV per atom. Its crystal system is monoclinic. As for the density of states at the Fermi level: 0.84 states/eV/atom.

Cell lengths 10.8070, 10.8070, 7.8384 Å; angles 97.07, 97.07, 19.85 degrees
Last column: nearest neighbours and their distance in Å.
Element x y z (fractional)
Ho 0.0000 0.0000 0.0000  4 Ge 2.94
Ho 0.3422 0.3422 0.0287  3 Ge 2.93-3.23
Ho 0.3952 0.3952 0.5816  4 Ge 2.84-3.13
Ho 0.6048 0.6048 0.4184  4 Ge 2.84-3.13
Ho 0.6578 0.6578 0.9713  3 Ge 2.93-3.23
Er 0.2330 0.2330 0.6694  1 Ge 2.83
Er 0.7670 0.7670 0.3306  1 Ge 2.83
Ge 0.1024 0.1024 0.7063  2 Ge 2.52
Ge 0.4758 0.4758 0.2744  2 Ge 2.52
Ge 0.5242 0.5242 0.7256  2 Ge 2.52
Ge 0.8976 0.8976 0.2937  2 Ge 2.52